(1)
The following is a PBE calculation of crystalline SiIr3N at its relaxed geometry, from the Alexandria database.

```
SiIr3N
1.0
-0.983 3.943 0.463
-0.731 0.289 -4.014
-3.903 -1.048 0.635
Ir N Si
3 1 1
Direct
0.000 0.500 0.000
0.500 0.000 0.000
0.000 0.000 0.500
0.000 0.000 0.000
0.500 0.500 0.500
```

Space group   Pm-3m, No. 221

(2)
The following is a PBE calculation of crystalline SiIrN2 at its relaxed geometry, from the Alexandria database.

```
SiIrN2
1.0
1.593 0.000 6.002
-0.797 1.380 6.002
-0.797 -1.380 6.002
N Si Ir
2 1 1
Direct
0.890 0.890 0.890
0.110 0.110 0.110
0.500 0.500 0.500
0.000 0.000 0.000
```

Space group   R-3m, No. 166

(3)
The following is a PBE calculation of crystalline Si3IrN at its relaxed geometry, from the Alexandria database.

```
Si3IrN
1.0
-1.744 4.183 -0.393
-3.860 -1.763 -1.637
-1.657 -0.294 4.226
Si Ir N
3 1 1
Direct
0.000 0.000 0.500
0.500 0.000 0.000
0.000 0.500 0.000
0.000 0.000 0.000
0.500 0.500 0.500
```

Space group   Pm-3m, No. 221
Energy above the most stable polymorph in this dataset   0.8509 eV per atom

(4)
The following is a PBE calculation of crystalline Si2IrN at its relaxed geometry, from the Alexandria database.

```
Si2IrN
1.0
-1.221 -4.138 -3.041
3.030 -3.104 3.008
-1.984 -4.352 2.138
Si N Ir
4 2 2
Direct
0.375 0.448 0.750
0.198 0.625 0.250
0.875 0.802 0.750
0.552 0.125 0.250
0.250 0.750 0.500
0.500 0.500 0.000
0.750 0.250 0.500
0.000 0.000 0.000
```

Space group   I-42d, No. 122

(5)
The following is a PBE calculation of crystalline TbSiIrN at its relaxed geometry, from the Alexandria database.

```
TbSiIrN
1.0
-1.569 -2.901 -2.207
-1.698 -1.545 3.237
-6.485 4.471 -1.267
Si Tb N Ir
2 2 2 2
Direct
0.000 0.500 0.338
0.500 0.000 0.662
0.000 0.500 0.839
0.500 0.000 0.161
0.500 0.000 0.879
0.000 0.500 0.121
0.000 0.000 0.500
0.500 0.500 0.500
```

Space group   P4/nmm, No. 129

(6)
The following is a PBE calculation of crystalline SiTeIrN2 at its relaxed geometry, from the Alexandria database.

```
SiTeIrN2
1.0
-3.002 1.812 1.386
-1.990 -0.960 -3.056
-2.408 -6.829 3.713
Te N Ir Si
1 2 1 1
Direct
0.000 0.000 0.500
0.500 0.000 0.000
0.000 0.500 0.000
0.000 0.000 0.000
0.500 0.500 0.500
```

Space group   P4/mmm, No. 123
Energy above the most stable polymorph in this dataset   0.0663 eV per atom

(7)
The following is a PBE calculation of crystalline SiTeIrN2 at its relaxed geometry, from the Alexandria database.

```
SiTeIrN2
1.0
3.542 0.000 0.000
0.000 3.542 0.000
0.000 0.000 8.600
N Te Ir Si
2 1 1 1
Direct
0.500 0.000 0.000
0.000 0.500 0.000
0.000 0.000 0.500
0.500 0.500 0.500
0.000 0.000 0.000
```

Space group   P4/mmm, No. 123
Energy above the most stable polymorph in this dataset   0.0000 eV per atom

(8)
The following is a PBE calculation of crystalline ThSiIrN at its relaxed geometry, from the Alexandria database.

```
ThSiIrN
1.0
3.997 0.000 0.000
0.000 3.997 0.000
0.000 0.000 8.128
Ir N Th Si
2 2 2 2
Direct
0.500 0.500 0.500
0.000 0.000 0.500
0.500 0.000 0.881
0.000 0.500 0.119
0.500 0.000 0.170
0.000 0.500 0.830
0.000 0.500 0.340
0.500 0.000 0.660
```

Space group   P4/nmm, No. 129

(9)
The following is a PBE calculation of crystalline SmIrN at its relaxed geometry, from the Alexandria database.

```
SmIrN
1.0
3.459 0.000 0.000
0.000 5.272 0.000
0.000 0.000 10.617
N Sm Ir
4 4 4
Direct
0.750 0.753 0.751
0.250 0.247 0.249
0.250 0.747 0.251
0.750 0.253 0.749
0.250 0.503 0.647
0.750 0.497 0.353
0.750 0.997 0.147
0.250 0.003 0.853
0.750 0.002 0.591
0.250 0.498 0.091
0.750 0.502 0.909
0.250 0.998 0.409
```

Space group   Pnma, No. 62

(10)
The following is a PBE calculation of crystalline SmIrN at its relaxed geometry, from the Alexandria database.

```
SmIrN
1.0
-3.217 -3.097 0.997
0.544 -1.573 -3.132
1.861 -1.018 2.843
Sm Ir N
1 1 1
Direct
0.590 0.333 0.667
0.133 0.000 0.000
0.277 0.667 0.333
```

Space group   P3m1, No. 156

(11)
The following is a PBE calculation of crystalline SmTh2IrN4 at its relaxed geometry, from the Alexandria database.

```
SmTh2IrN4
1.0
3.455 0.000 0.000
-1.728 6.072 0.000
0.000 0.000 12.123
Th Sm N Ir
4 2 8 2
Direct
0.630 0.261 0.445
0.370 0.739 0.945
0.630 0.261 0.055
0.370 0.739 0.555
0.112 0.223 0.750
0.888 0.777 0.250
0.279 0.557 0.125
0.457 0.914 0.750
0.000 0.000 0.500
0.721 0.443 0.875
0.000 0.000 0.000
0.721 0.443 0.625
0.543 0.086 0.250
0.279 0.557 0.375
0.848 0.696 0.750
0.152 0.304 0.250
```

Space group   Cmcm, No. 63

(12)
The following is a PBE calculation of crystalline SnIrN2 at its relaxed geometry, from the Alexandria database.

```
SnIrN2
1.0
3.192 -2.502 5.259
5.492 -1.089 3.571
3.651 0.639 5.511
N Sn Ir
2 1 1
Direct
0.883 0.883 0.883
0.117 0.117 0.117
0.000 0.000 0.000
0.500 0.500 0.500
```

Space group   R-3m, No. 166

(13)
The following is a PBE calculation of crystalline SnIrN2 at its relaxed geometry, from the Alexandria database.

```
SnIrN2
1.0
1.820 0.000 6.294
-0.910 1.577 6.294
-0.910 -1.577 6.294
N Sn Ir
2 1 1
Direct
0.102 0.102 0.102
0.898 0.898 0.898
0.500 0.500 0.500
0.000 0.000 0.000
```

Space group   R-3m, No. 166

(14)
The following is a PBE calculation of crystalline SnIr2N at its relaxed geometry, from the Alexandria database.

```
SnIr2N
1.0
5.175 0.000 0.000
0.000 5.175 0.000
2.588 2.588 5.332
Sn Ir N
2 4 2
Direct
0.000 0.000 0.000
0.750 0.250 0.500
0.508 0.125 0.250
0.875 0.758 0.750
0.242 0.625 0.250
0.375 0.492 0.750
0.250 0.750 0.500
0.500 0.500 0.000
```

Space group   I-42d, No. 122
Energy above the most stable polymorph in this dataset   0.0000 eV per atom

The following ΔE_f (raw) values (in meV/atom) correspond, in order, to the records above: 753; -235; 1197; -411; -1203; 1006; 939; -1248; -499; -140; -1038; 591; 620; 373.
The following calculated total energy values (in eV per atom) correspond, in order, to the records above: -7.31; -7.97; -5.49; -7.42; -8.01; -5.81; -5.88; -8.76; -7.80; -7.44; -8.75; -6.79; -6.76; -7.14.